(1)
A plane-wave DFT calculation with PBE was carried out for a relaxed PrPuTl2 crystal.

Geometry as extended XYZ:
```
4
Lattice="3.466 0.000 0.000 0.000 3.466 0.000 0.000 0.000 9.486" Properties=species:S:1:pos:R:3 pbc="T T T"
Pr 1.733 1.733 4.743
Pu 1.733 1.733 0.000
Tl 0.000 0.000 7.157
Tl 0.000 0.000 2.329
```

Calculated values
Formation energy from the elements: -0.19 eV/atom
Polymorph energy (0 for the lowest one): 0 meV/atom
Total magnetization: 5.884 μB/f.u.
Crystal system: tetragonal

=====

(2)
A plane-wave DFT calculation with PBE was carried out for a relaxed PrPu2Tl crystal.

Geometry as extended XYZ:
```
4
Lattice="5.246 0.000 0.000 0.000 4.651 0.000 0.000 0.000 4.651" Properties=species:S:1:pos:R:3 pbc="T T T"
Tl 2.623 0.000 0.000
Pu 0.000 2.325 0.000
Pu 0.000 0.000 2.325
Pr 2.623 2.325 2.325
```

Calculated values
Formation energy from the elements: -0.02 eV/atom
Polymorph energy (0 for the lowest one): 0 meV/atom
Total magnetization: 12.233 μB/f.u.
Crystal system: tetragonal

=====

(3)
A plane-wave DFT calculation with PBE was carried out for a relaxed PrTmPuTl crystal.

Geometry as extended XYZ:
```
4
Lattice="-4.989 0.734 -2.222 -3.465 -4.260 -0.461 -4.496 -0.251 3.177" Properties=species:S:1:pos:R:3 pbc="T T T"
Tm 0.000 0.000 0.000
Pu -3.238 -0.944 0.124
Pr -9.713 -2.833 0.371
Tl -6.475 -1.889 0.247
```

Calculated values
Formation energy from the elements: 0.06 eV/atom
Total magnetization: 6.790 μB/f.u.
Crystal system: cubic

=====

(4)
A plane-wave DFT calculation with PBE was carried out for a relaxed PrYPuTl crystal.

Geometry as extended XYZ:
```
4
Lattice="5.510 0.000 0.000 2.755 4.772 0.000 2.755 1.591 4.499" Properties=species:S:1:pos:R:3 pbc="T T T"
Pu 2.755 1.591 1.125
Tl 8.265 4.772 3.374
Pr 0.000 0.000 0.000
Y 5.510 3.181 2.249
```

Calculated values
Formation energy from the elements: 0.03 eV/atom
Total magnetization: 6.841 μB/f.u.
Crystal system: cubic

=====

(5)
A plane-wave DFT calculation with PBE was carried out for a relaxed Pr3Tm4Pu crystal.

Geometry as extended XYZ:
```
8
Lattice="3.341 0.000 -0.809 -1.197 10.462 -4.946 0.293 -2.410 8.515" Properties=species:S:1:pos:R:3 pbc="T T T"
Pr 1.793 6.722 0.101
Pr 0.644 1.330 2.659
Pr -0.598 5.231 -2.473
Tm 0.700 4.716 2.892
Tm 1.131 8.623 -2.631
Tm 1.736 3.337 -0.132
Tm 1.305 -0.570 5.392
Pu 1.670 0.000 -0.404
```

Calculated values
Formation energy from the elements: 0.16 eV/atom
Total magnetization: 6.399 μB/f.u.
Crystal system: orthorhombic

=====

(6)
A plane-wave DFT calculation with PBE was carried out for a relaxed Pr6Tm2Pu crystal.

Geometry as extended XYZ:
```
18
Lattice="-4.645 -0.909 5.438 4.660 -6.746 2.853 -0.645 14.804 1.923" Properties=species:S:1:pos:R:3 pbc="T T T"
Pr -0.320 2.356 7.235
Pr -4.000 9.578 7.741
Pr -1.604 7.892 4.727
Pr -2.379 -1.683 4.907
Pr 3.371 -2.429 2.474
Pr -2.581 4.349 5.637
Pr -0.005 -1.219 2.128
Pr 1.750 8.833 5.307
Pr -0.310 4.793 2.979
Pr -0.625 8.368 8.086
Pr 0.975 -0.743 5.487
Pr 1.951 2.800 4.577
Pu -0.322 7.402 0.962
Pu 0.008 -3.827 4.145
Tm 0.906 5.496 6.470
Tm -1.535 1.654 3.744
Tm -1.849 5.228 8.851
Tm 1.220 1.921 1.363
```

Calculated values
Formation energy from the elements: 0.19 eV/atom
Total magnetization: 6.497 μB/f.u.
Crystal system: monoclinic

=====

(7)
A plane-wave DFT calculation with PBE was carried out for a relaxed PrTm2Pu crystal.

Geometry as extended XYZ:
```
4
Lattice="3.522 0.000 0.000 0.000 3.522 0.000 0.000 0.000 9.937" Properties=species:S:1:pos:R:3 pbc="T T T"
Pr 1.761 1.761 4.968
Pu 1.761 1.761 0.000
Tm 0.000 0.000 2.364
Tm 0.000 0.000 7.573
```

Calculated values
Formation energy from the elements: 0.10 eV/atom
Polymorph energy (0 for the lowest one): 0 meV/atom
Total magnetization: 6.507 μB/f.u.
Crystal system: tetragonal

=====

(8)
A plane-wave DFT calculation with PBE was carried out for a relaxed PrTm14Pu crystal.

Geometry as extended XYZ:
```
16
Lattice="-2.006 -0.934 6.634 1.842 -6.736 -0.387 9.078 2.306 3.070" Properties=species:S:1:pos:R:3 pbc="T T T"
Pr 3.975 -1.957 5.537
Tm 7.223 -2.845 4.531
Tm 1.361 -6.010 0.491
Tm 1.743 -0.596 3.188
Tm -0.563 -3.110 4.001
Tm 5.278 0.087 8.080
Tm 2.673 -4.001 2.993
Tm 6.292 0.559 4.727
Tm 0.440 -2.642 0.684
Tm 1.659 -4.473 6.346
Tm 6.209 -3.317 7.884
Tm 4.979 -1.490 2.219
Tm 4.897 -5.325 5.342
Tm 0.729 -1.069 6.541
Tm 0.358 -6.478 3.808
Pu 5.900 -4.858 2.025
```

Calculated values
Formation energy from the elements: 0.04 eV/atom
Total magnetization: 6.347 μB/f.u.
Crystal system: tetragonal

=====

(9)
A plane-wave DFT calculation with PBE was carried out for a relaxed Pr8Tm5Pu crystal.

Geometry as extended XYZ:
```
14
Lattice="-4.705 -3.465 -6.468 -0.534 -4.334 7.426 -2.329 7.784 3.157" Properties=species:S:1:pos:R:3 pbc="T T T"
Tm -5.295 -5.668 0.773
Tm -1.760 -1.016 -0.669
Tm -5.207 -0.038 3.609
Tm -6.721 2.700 -1.547
Tm -3.213 1.973 -1.513
Pr -2.831 3.873 7.400
Pr -5.085 -0.549 -1.650
Pr -5.215 3.370 1.485
Pr -2.191 0.903 2.166
Pr -2.361 0.459 5.822
Pr -3.558 -2.646 2.063
Pr -3.324 -6.094 3.448
Pr -1.692 4.512 1.868
Pu -3.664 3.095 4.241
```

Calculated values
Formation energy from the elements: 0.21 eV/atom
Total magnetization: 6.077 μB/f.u.
Crystal system: monoclinic

=====

(10)
A plane-wave DFT calculation with PBE was carried out for a relaxed PrTm2Pu crystal.

Geometry as extended XYZ:
```
4
Lattice="-1.418 0.726 5.379 -0.385 -4.429 3.422 3.820 -0.767 4.036" Properties=species:S:1:pos:R:3 pbc="T T T"
Pu 0.000 0.000 0.000
Pr 1.009 -2.235 6.418
Tm 0.504 -1.117 3.209
Tm 1.513 -3.352 9.628
```

Calculated values
Formation energy from the elements: 0.20 eV/atom
Polymorph energy (0 for the lowest one): 99 meV/atom
Total magnetization: 6.097 μB/f.u.
Crystal system: cubic

=====

(11)
A plane-wave DFT calculation with PBE was carried out for a relaxed Pr4Tm3Pu crystal.

Geometry as extended XYZ:
```
8
Lattice="3.384 0.000 -0.819 -1.197 10.465 -4.947 0.283 -2.387 8.570" Properties=species:S:1:pos:R:3 pbc="T T T"
Pr 1.753 3.352 -0.157
Pr 1.317 -0.521 5.442
Pr 0.717 4.726 2.962
Pr 1.153 8.599 -2.638
Tm -0.599 5.232 -2.473
Tm 1.831 6.758 0.166
Tm 0.639 1.320 2.638
Pu 1.692 0.000 -0.410
```

Calculated values
Formation energy from the elements: 0.17 eV/atom
Total magnetization: 6.418 μB/f.u.
Crystal system: orthorhombic

=====

(12)
A plane-wave DFT calculation with PBE was carried out for a relaxed Pr4Tm8Pu crystal.

Geometry as extended XYZ:
```
13
Lattice="7.548 -1.153 1.314 0.898 7.582 1.314 -1.514 -1.153 7.510" Properties=species:S:1:pos:R:3 pbc="T T T"
Pu 3.466 2.638 5.069
Tm 4.785 0.121 6.998
Tm 0.914 0.696 6.302
Tm 6.017 4.581 3.835
Tm 2.146 5.156 3.139
Tm 1.695 1.290 2.478
Tm 5.237 3.987 7.659
Tm 5.541 0.696 3.139
Tm 1.390 4.581 6.998
Pr 0.000 0.000 0.000
Pr 4.223 3.215 1.314
Pr 3.017 -1.153 4.412
Pr -0.308 3.215 4.412
```

Calculated values
Formation energy from the elements: 0.55 eV/atom
Total magnetization: 7.271 μB/f.u.
Crystal system: trigonal